Model one:
9
Lattice="7.051 -1.433 0.000 7.051 1.433 0.000 -3.995 0.000 6.800" Properties=species:S:1:pos:R:3 comment="Cu4Ag5, optimized geometry, DFT PBE-GGA" volume_a3_per_atom=15.3 pbc="T T T"
Cu 0.000 0.000 0.000
Cu 3.572 0.000 4.708
Cu 6.460 0.000 2.080
Cu 8.528 0.000 4.657
Ag -0.905 0.000 4.402
Ag 1.632 0.000 2.420
Ag 0.772 0.000 6.798
Ag 5.331 0.000 6.794
Ag 11.175 0.000 2.434

---

Model two:
9
Lattice="4.873 0.000 0.000 -2.436 4.220 0.000 0.000 0.000 6.726" Properties=species:S:1:pos:R:3 comment="Cu4Ag5, optimized geometry, DFT PBE-GGA" volume_a3_per_atom=15.4 pbc="T T T"
Cu 0.000 0.000 0.000
Cu -0.776 1.344 4.649
Cu 1.551 0.000 4.649
Cu 1.661 2.877 4.649
Ag -1.629 2.821 2.443
Ag 0.808 1.399 2.443
Ag 0.000 2.813 0.035
Ag 2.436 1.407 0.035
Ag 3.258 0.000 2.443

---

Stability ranking, top and bottom: model one is the most stable and model two is the least stable.

---

Model one:
9
Lattice="5.654 -1.891 0.000 5.654 1.891 0.000 -1.875 0.000 5.591" Properties=species:S:1:pos:R:3 comment="Cu7Ag2, optimized geometry, DFT PBE-GGA" volume_a3_per_atom=13.3 pbc="T T T"
Cu 0.000 0.000 0.000
Cu -0.022 0.000 3.654
Cu 1.857 0.000 1.951
Cu 3.773 0.000 3.641
Cu 5.661 0.000 1.951
Cu 7.577 0.000 3.640
Cu 9.455 0.000 1.937
Ag 1.961 0.000 5.589
Ag 7.473 0.000 0.002

---

Model two:
9
Lattice="4.621 0.000 0.000 -2.311 4.002 0.000 0.000 0.000 6.446" Properties=species:S:1:pos:R:3 comment="Cu7Ag2, optimized geometry, DFT PBE-GGA" volume_a3_per_atom=13.2 pbc="T T T"
Cu 0.000 0.000 0.000
Cu -0.757 1.311 4.228
Cu -1.554 2.691 2.218
Cu 1.513 0.000 4.228
Cu 0.757 1.311 2.218
Cu 3.108 0.000 2.218
Cu 1.554 2.691 4.228
Ag 0.000 2.668 0.000
Ag 2.311 1.334 0.000

---

Stability ranking, top and bottom: model one is the most stable and model two is the least stable.

---

Model one:
9
Lattice="2.683 0.000 0.000 -1.342 2.324 0.000 0.000 0.000 19.201" Properties=species:S:1:pos:R:3 comment="Cu7Ag2, optimized geometry, DFT PBE-GGA" volume_a3_per_atom=13.3 pbc="T T T"
Cu 0.000 0.000 0.000
Cu 0.000 0.000 6.580
Cu 0.000 0.000 12.621
Cu 0.000 1.549 10.614
Cu 0.000 1.549 17.206
Cu 1.342 0.775 1.995
Cu 1.342 0.775 8.588
Ag 0.000 1.549 4.281
Ag 1.342 0.775 14.920

---

Model two:
9
Lattice="6.691 -1.366 0.000 6.691 1.366 0.000 -3.782 0.000 6.497" Properties=species:S:1:pos:R:3 comment="Cu7Ag2, optimized geometry, DFT PBE-GGA" volume_a3_per_atom=13.2 pbc="T T T"
Cu 0.000 0.000 0.000
Cu -0.892 0.000 4.547
Cu 1.705 0.000 2.157
Cu 0.711 0.000 6.445
Cu 8.889 0.000 0.052
Cu 7.896 0.000 4.341
Cu 10.493 0.000 1.950
Ag 3.516 0.000 4.252
Ag 6.085 0.000 2.245

---

Stability ranking, top and bottom: model two is the most stable and model one is the least stable.

---

Model one:
9
Lattice="4.237 -1.846 0.000 4.237 1.846 0.000 -2.563 0.000 7.590" Properties=species:S:1:pos:R:3 comment="Cu7Ag2, optimized geometry, DFT PBE-GGA" volume_a3_per_atom=13.2 pbc="T T T"
Cu 0.000 0.000 0.000
Cu 2.488 0.000 0.771
Cu 1.632 0.000 3.354
Cu 0.825 0.000 5.978
Cu 5.087 0.000 1.611
Cu 4.281 0.000 4.236
Cu 3.424 0.000 6.819
Ag -1.700 0.000 5.115
Ag 7.613 0.000 2.475

---

Model two:
9
Lattice="-1.359 1.759 12.434 1.359 -1.759 12.434 1.359 1.759 -12.434" Properties=species:S:1:pos:R:3 comment="Cu7Ag2, optimized geometry, DFT PBE-GGA" volume_a3_per_atom=13.2 pbc="T T T"
Cu 0.000 0.000 0.000
Cu 0.000 0.000 5.571
Cu 0.000 0.000 8.099
Cu 0.000 0.000 11.177
Cu 0.000 0.000 13.690
Cu 0.000 0.000 16.769
Cu 0.000 0.000 19.296
Ag 0.000 0.000 2.793
Ag 0.000 0.000 22.075

---

Model three:
9
Lattice="2.681 0.000 0.000 -1.341 2.322 0.000 0.000 0.000 19.214" Properties=species:S:1:pos:R:3 comment="Cu7Ag2, optimized geometry, DFT PBE-GGA" volume_a3_per_atom=13.3 pbc="T T T"
Cu 0.000 0.000 0.000
Cu 0.000 0.000 6.571
Cu 0.000 0.000 12.644
Cu 0.000 1.548 4.562
Cu 0.000 1.548 10.620
Cu 1.341 0.774 8.594
Cu 1.341 0.774 14.653
Ag 0.000 1.548 16.941
Ag 1.341 0.774 2.273

---

Stability ranking, top and bottom: model two is the most stable and model three is the least stable.